1.
Here is Al3Os after structural relaxation from Alexandria. Energies are from GGA-PBE.

Summary:
Total magnetic moment in μB per cell: 0.0
Energy relative to the elements in kJ per mole of atoms: -25.5
SG: I4/mmm (139)

Cell: 8.359 8.359 8.359 Å, 153.49 153.49 37.84°
Element x y z (fractional)
Al (0.000, 0.500, 0.500)
Al (0.500, 0.000, 0.500)
Al (0.750, 0.250, 0.500)
Al (0.250, 0.750, 0.500)
Al (0.878, 0.878, 0.000)
Al (0.122, 0.122, 0.000)
Os (0.632, 0.632, 0.000)
Os (0.368, 0.368, 0.000)

2.
Here is AlOs2 after structural relaxation from Alexandria. Energies are from GGA-PBE.

Summary:
Total magnetic moment in μB per cell: 0.0
Energy relative to the elements in kJ per mole of atoms: 27.3
SG: P-62m (189)

Cell: 6.186 6.186 3.942 Å, 90.00 90.00 120.00°
Element x y z (fractional)
Al (0.333, 0.667, 0.000)
Al (0.667, 0.333, 0.000)
Al (0.000, 0.000, 0.500)
Os (0.247, 0.000, 0.000)
Os (0.000, 0.247, 0.000)
Os (0.753, 0.753, 0.000)
Os (0.574, 0.000, 0.500)
Os (0.000, 0.574, 0.500)
Os (0.426, 0.426, 0.500)

3.
Here is Al2Os after structural relaxation from Alexandria. Energies are from GGA-PBE.

Summary:
Total magnetic moment in μB per cell: 0.0
Energy relative to the elements in kJ per mole of atoms: -20.9
SG: Cmcm (63)

Cell: 6.948 6.948 4.531 Å, 90.00 90.00 155.71°
Element x y z (fractional)
Al (0.624, 0.376, 0.750)
Al (0.939, 0.061, 0.750)
Al (0.061, 0.939, 0.250)
Al (0.376, 0.624, 0.250)
Os (0.286, 0.714, 0.750)
Os (0.714, 0.286, 0.250)

4.
Here is AlOs4 after structural relaxation from Alexandria. Energies are from GGA-PBE.

Summary:
Total magnetic moment in μB per cell: 0.0
Polymorph energy (0 for the lowest one) in meV/atom: 0
Energy relative to the elements in kJ per mole of atoms: 6.2
SG: I4/m (87)

Cell: 4.722 4.722 4.722 Å, 99.58 99.58 131.85°
Element x y z (fractional)
Al (0.000, 0.000, 0.000)
Os (0.196, 0.601, 0.797)
Os (0.601, 0.804, 0.406)
Os (0.804, 0.399, 0.203)
Os (0.399, 0.196, 0.594)

5.
Here is Al3Os after structural relaxation from Alexandria. Energies are from GGA-PBE.

Summary:
Total magnetic moment in μB per cell: 0.0
Energy relative to the elements in kJ per mole of atoms: -20.8
SG: Pm-3m (221)

Cell: 3.868 3.868 3.868 Å, 90.00 90.00 90.00°
Element x y z (fractional)
Os (0.000, 0.000, 0.000)
Al (0.000, 0.500, 0.500)
Al (0.500, 0.000, 0.500)
Al (0.500, 0.500, 0.000)

6.
Here is AlOs2 after structural relaxation from Alexandria. Energies are from GGA-PBE.

Summary:
Total magnetic moment in μB per cell: 0.0
Energy relative to the elements in kJ per mole of atoms: 63.9
SG: Fm-3m (225)

Cell: 4.074 4.074 4.074 Å, 60.00 60.00 60.00°
Element x y z (fractional)
Os (0.750, 0.750, 0.750)
Os (0.250, 0.250, 0.250)
Al (0.000, 0.000, 0.000)

7.
Here is Al5Os4 after structural relaxation from Alexandria. Energies are from GGA-PBE.

Summary:
Total magnetic moment in μB per cell: 0.0
Polymorph energy (0 for the lowest one) in meV/atom: 10
Energy relative to the elements in kJ per mole of atoms: -15.8
SG: I4/mmm (139)

Cell: 6.009 6.009 6.009 Å, 96.39 96.39 141.01°
Element x y z (fractional)
Al (0.000, 0.000, 0.000)
Al (0.328, 0.672, 0.000)
Al (0.672, 0.328, 0.000)
Al (0.672, 0.672, 0.344)
Al (0.328, 0.328, 0.656)
Os (0.331, 0.000, 0.331)
Os (0.669, 0.000, 0.669)
Os (0.000, 0.669, 0.669)
Os (0.000, 0.331, 0.331)

8.
Here is Al3Os after structural relaxation from Alexandria. Energies are from GGA-PBE.

Summary:
Total magnetic moment in μB per cell: 0.0
Energy relative to the elements in kJ per mole of atoms: -25.2
SG: Imm2 (44)

Cell: 5.045 5.045 5.045 Å, 145.08 125.80 66.12°
Element x y z (fractional)
Os (0.670, 0.000, 0.670)
Al (0.751, 0.738, 0.013)
Al (0.275, 0.262, 0.013)
Al (0.138, 0.500, 0.638)

Please write out number 2 again, unchanged.
Here is AlOs2 after structural relaxation from Alexandria. Energies are from GGA-PBE.

Summary:
Total magnetic moment in μB per cell: 0.0
Energy relative to the elements in kJ per mole of atoms: 27.3
SG: P-62m (189)

Cell: 6.186 6.186 3.942 Å, 90.00 90.00 120.00°
Element x y z (fractional)
Al (0.333, 0.667, 0.000)
Al (0.667, 0.333, 0.000)
Al (0.000, 0.000, 0.500)
Os (0.247, 0.000, 0.000)
Os (0.000, 0.247, 0.000)
Os (0.753, 0.753, 0.000)
Os (0.574, 0.000, 0.500)
Os (0.000, 0.574, 0.500)
Os (0.426, 0.426, 0.500)

energy relative to the elements of number 8 (Al3Os)?
-25.2 kJ per mole of atoms